1.
# Cd3Ag12Hg (GGA-PBE, relaxed)
data_Cd3Ag12Hg
_cell_length_a 4.1703
_cell_length_b 4.1703
_cell_length_c 17.1420
_cell_angle_alpha 90.00
_cell_angle_beta 90.00
_cell_angle_gamma 90.00
_space_group_name_H-M_alt 'P 4/m m m'
_space_group_IT_number 123
_space_group_name_Hall '-P 4 2'
loop_
_atom_site_label
_atom_site_fract_x
_atom_site_fract_y
_atom_site_fract_z
_atom_site_occupancy
Cd1 0.0000 0.0000 0.0000 1
Cd2 0.0000 0.0000 0.2491 1
Ag1 0.0000 0.5000 0.1247 1
Ag2 0.0000 0.5000 0.3733 1
Ag3 0.5000 0.5000 0.0000 1
Ag4 0.5000 0.5000 0.2495 1
Ag5 0.5000 0.5000 0.5000 1
Hg1 0.0000 0.0000 0.5000 1
# M_tot: 0.0 μB/cell
# calculated formation energy: -9 meV per atom
# E_tot: -2.34 eV/atom
# crystal system: tetragonal



2.
# CdAg6Hg2 (GGA-PBE, relaxed)
data_CdAg6Hg2
_cell_length_a 8.8197
_cell_length_b 9.7425
_cell_length_c 8.4683
_cell_angle_alpha 90.00
_cell_angle_beta 105.18
_cell_angle_gamma 90.00
_space_group_name_H-M_alt 'C 1 2/c 1'
_space_group_IT_number 15
_space_group_name_Hall '-C 2yc'
loop_
_atom_site_label
_atom_site_fract_x
_atom_site_fract_y
_atom_site_fract_z
_atom_site_occupancy
Cd1 0.0000 0.1520 0.2500 1
Ag1 0.0679 0.1129 0.9259 1
Ag2 0.0968 0.3862 0.0783 1
Ag3 0.2359 0.3862 0.4264 1
Hg1 0.1682 0.3458 0.7523 1
# M_tot: 0.0 μB/cell
# calculated formation energy: 63 meV per atom
# E_tot: -2.01 eV/atom
# relative energy among the computed polymorphs: 0.0 meV per atom
# crystal system: monoclinic



3.
# Cd6Ag3Hg (GGA-PBE, relaxed)
data_Cd6Ag3Hg
_cell_length_a 12.2074
_cell_length_b 12.5192
_cell_length_c 5.6954
_cell_angle_alpha 90.00
_cell_angle_beta 90.00
_cell_angle_gamma 90.00
_space_group_name_H-M_alt 'C m c 21'
_space_group_IT_number 36
_space_group_name_Hall 'C 2c -2'
loop_
_atom_site_label
_atom_site_fract_x
_atom_site_fract_y
_atom_site_fract_z
_atom_site_occupancy
Cd1 0.0000 0.0770 0.0000 1
Cd2 0.0000 0.3006 0.7318 1
Cd3 0.2110 0.4839 0.7340 1
Cd4 0.2204 0.2123 0.9487 1
Ag1 0.0000 0.4993 0.4829 1
Ag2 0.1196 0.1216 0.5082 1
Hg1 0.0000 0.2955 0.2327 1
# M_tot: 0.0 μB/cell
# calculated formation energy: 16 meV per atom
# E_tot: -1.42 eV/atom
# relative energy among the computed polymorphs: 40.0 meV per atom
# crystal system: orthorhombic



Copy entry 3 word for word.
# Cd6Ag3Hg (GGA-PBE, relaxed)
data_Cd6Ag3Hg
_cell_length_a 12.2074
_cell_length_b 12.5192
_cell_length_c 5.6954
_cell_angle_alpha 90.00
_cell_angle_beta 90.00
_cell_angle_gamma 90.00
_space_group_name_H-M_alt 'C m c 21'
_space_group_IT_number 36
_space_group_name_Hall 'C 2c -2'
loop_
_atom_site_label
_atom_site_fract_x
_atom_site_fract_y
_atom_site_fract_z
_atom_site_occupancy
Cd1 0.0000 0.0770 0.0000 1
Cd2 0.0000 0.3006 0.7318 1
Cd3 0.2110 0.4839 0.7340 1
Cd4 0.2204 0.2123 0.9487 1
Ag1 0.0000 0.4993 0.4829 1
Ag2 0.1196 0.1216 0.5082 1
Hg1 0.0000 0.2955 0.2327 1
# M_tot: 0.0 μB/cell
# calculated formation energy: 16 meV per atom
# E_tot: -1.42 eV/atom
# relative energy among the computed polymorphs: 40.0 meV per atom
# crystal system: orthorhombic



Please write out number 2 again, unchanged.
# CdAg6Hg2 (GGA-PBE, relaxed)
data_CdAg6Hg2
_cell_length_a 8.8197
_cell_length_b 9.7425
_cell_length_c 8.4683
_cell_angle_alpha 90.00
_cell_angle_beta 105.18
_cell_angle_gamma 90.00
_space_group_name_H-M_alt 'C 1 2/c 1'
_space_group_IT_number 15
_space_group_name_Hall '-C 2yc'
loop_
_atom_site_label
_atom_site_fract_x
_atom_site_fract_y
_atom_site_fract_z
_atom_site_occupancy
Cd1 0.0000 0.1520 0.2500 1
Ag1 0.0679 0.1129 0.9259 1
Ag2 0.0968 0.3862 0.0783 1
Ag3 0.2359 0.3862 0.4264 1
Hg1 0.1682 0.3458 0.7523 1
# M_tot: 0.0 μB/cell
# calculated formation energy: 63 meV per atom
# E_tot: -2.01 eV/atom
# relative energy among the computed polymorphs: 0.0 meV per atom
# crystal system: monoclinic



Please write out number 1 again, unchanged.
# Cd3Ag12Hg (GGA-PBE, relaxed)
data_Cd3Ag12Hg
_cell_length_a 4.1703
_cell_length_b 4.1703
_cell_length_c 17.1420
_cell_angle_alpha 90.00
_cell_angle_beta 90.00
_cell_angle_gamma 90.00
_space_group_name_H-M_alt 'P 4/m m m'
_space_group_IT_number 123
_space_group_name_Hall '-P 4 2'
loop_
_atom_site_label
_atom_site_fract_x
_atom_site_fract_y
_atom_site_fract_z
_atom_site_occupancy
Cd1 0.0000 0.0000 0.0000 1
Cd2 0.0000 0.0000 0.2491 1
Ag1 0.0000 0.5000 0.1247 1
Ag2 0.0000 0.5000 0.3733 1
Ag3 0.5000 0.5000 0.0000 1
Ag4 0.5000 0.5000 0.2495 1
Ag5 0.5000 0.5000 0.5000 1
Hg1 0.0000 0.0000 0.5000 1
# M_tot: 0.0 μB/cell
# calculated formation energy: -9 meV per atom
# E_tot: -2.34 eV/atom
# crystal system: tetragonal